Entry from Alexandria: a geometry-optimized SrMnO3 structure (PBE+U).

Cell lengths 5.5222, 5.5222, 13.6798 Å; angles 90.00, 90.00, 120.00 degrees
With the nearest neighbours (Å) after each atom.
Atoms (fractional coordinates):
Mn 0.3333 0.6667 0.8439  6 O 1.91-1.94
Mn 0.3333 0.6667 0.6561  6 O 1.91-1.94
Mn 0.6667 0.3333 0.1561  6 O 1.91-1.94
Mn 0.0000 0.0000 0.0000  6 O 1.93
Mn 0.0000 0.0000 0.5000  6 O 1.93
Mn 0.6667 0.3333 0.3439  6 O 1.91-1.94
Sr 0.3333 0.6667 0.0867  12 O 2.76-2.83
Sr 0.6667 0.3333 0.9133  12 O 2.76-2.83
Sr 0.0000 0.0000 0.7500  12 O 2.76-2.79
Sr 0.3333 0.6667 0.4133  12 O 2.76-2.83
Sr 0.6667 0.3333 0.5867  12 O 2.76-2.83
Sr 0.0000 0.0000 0.2500  12 O 2.76-2.79
O 0.6711 0.8356 0.5819  2 Mn 1.91-1.93
O 0.1644 0.3289 0.5819  2 Mn 1.91-1.93
O 0.3289 0.1644 0.4181  2 Mn 1.91-1.93
O 0.0289 0.5145 0.7500  2 Mn 1.94
O 0.4855 0.9711 0.7500  2 Mn 1.94
O 0.8356 0.6711 0.0819  2 Mn 1.91-1.93
O 0.8356 0.6711 0.4181  2 Mn 1.91-1.93
O 0.8356 0.1644 0.0819  2 Mn 1.91-1.93
O 0.1644 0.3289 0.9181  2 Mn 1.91-1.93
O 0.4855 0.5145 0.7500  2 Mn 1.94
O 0.8356 0.1644 0.4181  2 Mn 1.91-1.93
O 0.6711 0.8356 0.9181  2 Mn 1.91-1.93
O 0.1644 0.8356 0.9181  2 Mn 1.91-1.93
O 0.3289 0.1644 0.0819  2 Mn 1.91-1.93
O 0.1644 0.8356 0.5819  2 Mn 1.91-1.93
O 0.5145 0.0289 0.2500  2 Mn 1.94
O 0.9711 0.4855 0.2500  2 Mn 1.94
O 0.5145 0.4855 0.2500  2 Mn 1.94

Summary:
* symmetry: P6_3/mmc (194)
* M_tot: 3.024 μB per formula unit
* E_tot: -6.858 eV/atom